# 1
Density functional theory data (PBE) for an optimized crystal structure of RbPmCd4.

Cell: 6.1986 6.1986 6.1986 Å, 60.00 60.00 60.00°
Atoms (fractional coordinates):
Rb: 0.0000 0.0000 0.0000
Pm: 0.7500 0.7500 0.7500
Cd: 0.3760 0.3760 0.3760
Cd: 0.3760 0.3760 0.8720
Cd: 0.3760 0.8720 0.3760
Cd: 0.8720 0.3760 0.3760

**Formation energy**: -0.027 eV per atom
**Symmetry**: F-43m, No. 216

***

# 2
Density functional theory data (PBE) for an optimized crystal structure of CaSbIr2.

Cell: 3.1181 4.7287 5.3309 Å, 90.00 103.09 90.00°
Atoms (fractional coordinates):
Ca: 0.0000 0.0000 0.0000
Sb: 0.4023 0.5000 0.7260
Ir: 0.3728 0.0000 0.5004
Ir: 0.7300 0.5000 0.2944

**Energy relative to the elements, uncorrected**: -0.038 eV/atom
**Symmetry**: Pm, No. 6

***

# 3
Density functional theory data (PBE) for an optimized crystal structure of Bi2Os2Pd.

Cell: 5.5142 5.5142 5.5142 Å, 123.07 123.07 84.75°
Atoms (fractional coordinates):
Bi: 0.2500 0.7500 0.5000
Bi: 0.7500 0.2500 0.5000
Os: 0.1397 0.1397 0.0000
Os: 0.8603 0.8603 0.0000
Pd: 0.5000 0.5000 0.0000

**Formation energy**: 0.919 eV per atom
**Symmetry**: I4/mmm, No. 139
**Polymorph energy (0 for the lowest one)**: 304.7 meV/atom

***

# 4
Density functional theory data (PBE) for an optimized crystal structure of Y2CrP.

Cell: 4.8197 4.8197 4.8197 Å, 60.00 60.00 60.00°
Atoms (fractional coordinates):
Y: 0.0000 0.0000 0.0000
Y: 0.2500 0.2500 0.2500
Cr: 0.7500 0.7500 0.7500
P: 0.5000 0.5000 0.5000

**Formation energy**: 0.205 eV per atom
**Symmetry**: F-43m, No. 216

***

# 5
Density functional theory data (PBE) for an optimized crystal structure of NbFeCoNi.

Cell: 4.1489 4.1489 4.1489 Å, 60.00 60.00 60.00°
Atoms (fractional coordinates):
Nb: 0.0000 0.0000 0.0000
Fe: 0.7500 0.7500 0.7500
Co: 0.2500 0.2500 0.2500
Ni: 0.5000 0.5000 0.5000

**Formation energy**: 0.002 eV per atom
**Symmetry**: F-43m, No. 216

***

# 6
Density functional theory data (PBE) for an optimized crystal structure of Al4Cl.

Cell: 5.3994 5.3994 5.3994 Å, 109.47 109.47 109.47°
Atoms (fractional coordinates):
Al: 0.0000 0.0000 0.5000
Al: 0.0000 0.5000 0.0000
Al: 0.5000 0.0000 0.0000
Al: 0.5000 0.5000 0.5000
Cl: 0.0000 0.0000 0.0000

**Energy relative to the elements, uncorrected**: 0.547 eV/atom
**Symmetry**: Im-3m, No. 229
**Polymorph energy (0 for the lowest one)**: 469.4 meV/atom

***

# 7
Density functional theory data (PBE) for an optimized crystal structure of CeNi2Ag.

Cell: 4.9325 4.9325 4.9325 Å, 53.88 53.88 53.88°
Atoms (fractional coordinates):
Ce: 0.0000 0.0000 0.0000
Ni: 0.1996 0.1996 0.1996
Ni: 0.8004 0.8004 0.8004
Ag: 0.5000 0.5000 0.5000

**Formation energy**: -0.149 eV per atom
**Symmetry**: R-3m, No. 166

***

# 8
Density functional theory data (PBE) for an optimized crystal structure of Zr2CuAu2.

Cell: 7.2887 7.2887 3.7364 Å, 90.00 90.00 90.00°
Atoms (fractional coordinates):
Zr: 0.1698 0.3302 0.0000
Zr: 0.3302 0.8302 0.0000
Zr: 0.6698 0.1698 0.0000
Zr: 0.8302 0.6698 0.0000
Cu: 0.0000 0.0000 0.5000
Cu: 0.5000 0.5000 0.5000
Au: 0.1357 0.6357 0.5000
Au: 0.3643 0.1357 0.5000
Au: 0.6357 0.8643 0.5000
Au: 0.8643 0.3643 0.5000

**Formation energy**: -0.277 eV per atom
**Symmetry**: P4/mbm, No. 127
**Polymorph energy (0 for the lowest one)**: 0.0 meV/atom

***

# 9
Density functional theory data (PBE) for an optimized crystal structure of Be2ZnCl.

Cell: 3.7548 2.8409 7.4409 Å, 90.00 98.65 90.00°
Atoms (fractional coordinates):
Be: 0.0000 0.0000 0.0000
Be: 0.0744 0.5000 0.2520
Zn: 0.5725 0.0000 0.2457
Cl: 0.9430 0.5000 0.8139

**Energy relative to the elements, uncorrected**: 0.048 eV/atom
**Symmetry**: Pm, No. 6
**Polymorph energy (0 for the lowest one)**: 0.0 meV/atom

***

# 10
Density functional theory data (PBE) for an optimized crystal structure of TbDy2Y3Bi6.

Cell: 7.7662 7.7662 7.7593 Å, 99.59 99.59 120.00°
Atoms (fractional coordinates):
Tb: 0.0000 0.0000 0.0000
Dy: 0.3333 0.6667 0.0000
Dy: 0.6667 0.3333 0.0000
Y: 0.1663 0.8337 0.5000
Y: 0.5000 0.5000 0.5000
Y: 0.8337 0.1663 0.5000
Bi: 0.0833 0.4173 0.2498
Bi: 0.2509 0.2509 0.7505
Bi: 0.4173 0.0833 0.2498
Bi: 0.5827 0.9167 0.7502
Bi: 0.7491 0.7491 0.2495
Bi: 0.9167 0.5827 0.7502

**Formation energy**: -0.882 eV per atom
**Symmetry**: C2/m, No. 12

***

# 11
Density functional theory data (PBE) for an optimized crystal structure of NaAu2Br.

Cell: 13.3525 13.3525 13.3525 Å, 163.23 163.23 23.81°
Atoms (fractional coordinates):
Na: 0.0000 0.0000 0.0000
Na: 0.7500 0.2500 0.5000
Au: 0.1237 0.6250 0.9987
Au: 0.3750 0.3737 0.4987
Au: 0.6263 0.1250 0.0013
Au: 0.8750 0.8763 0.5013
Br: 0.2500 0.7500 0.5000
Br: 0.5000 0.5000 0.0000

**Energy relative to the elements, uncorrected**: -0.412 eV/atom
**Symmetry**: I-42d, No. 122
**Polymorph energy (0 for the lowest one)**: 0.0 meV/atom

***

# 12
Density functional theory data (PBE) for an optimized crystal structure of PuThInAu.

Cell: 3.3866 3.3866 9.0118 Å, 90.00 90.00 90.00°
Atoms (fractional coordinates):
Pu: 0.0000 0.0000 0.0000
Th: 0.0000 0.0000 0.4652
In: 0.5000 0.5000 0.7372
Au: 0.5000 0.5000 0.2326

**Formation energy**: -0.348 eV per atom
**Symmetry**: P4mm, No. 99
**Polymorph energy (0 for the lowest one)**: 0.0 meV/atom

***

no.,D(E_F) (states/eV/atom)
1,1.047
2,0.824
3,1.160
4,1.184
5,1.154
6,0.163
7,1.203
8,1.120
9,0.229
10,0.184
11,0.250
12,2.303